# 1
PaRhPbO6 GGA-PBE relaxed; uncorrected energy = -133.61 eV/cell; calculated volume = 14.0 Å³/atom; E_form (uncorrected) = -1833 meV/atom
1.0
5.415 0.000 0.000
-2.708 4.690 0.000
0.000 0.000 9.933
Pa Rh Pb O
2 2 2 12
Direct
0.333 0.667 0.250 Pa
0.667 0.333 0.750 Pa
0.667 0.333 0.250 Rh
0.333 0.667 0.750 Rh
0.000 0.000 0.000 Pb
0.000 0.000 0.500 Pb
0.662 0.643 0.133 O
0.981 0.338 0.133 O
0.338 0.981 0.633 O
0.019 0.662 0.867 O
0.357 0.338 0.367 O
0.981 0.643 0.367 O
0.643 0.981 0.867 O
0.662 0.019 0.367 O
0.019 0.357 0.633 O
0.357 0.019 0.133 O
0.643 0.662 0.633 O
0.338 0.357 0.867 O


# 2
PaRhPb2O6 GGA-PBE relaxed; uncorrected energy = -71.49 eV/cell; calculated volume = 16.3 Å³/atom; E_form (uncorrected) = -1747 meV/atom
1.0
5.235 0.000 0.053
0.000 5.654 0.000
-2.078 -2.827 5.495
Pa Rh Pb O
1 1 2 6
Direct
0.000 0.500 0.000 Pa
0.500 0.000 0.000 Rh
0.237 0.249 0.498 Pb
0.763 0.751 0.502 Pb
0.292 0.672 0.345 O
0.223 0.163 0.844 O
0.777 0.319 0.156 O
0.223 0.681 0.844 O
0.777 0.837 0.156 O
0.708 0.328 0.655 O


# 3
Pa3RhPb2O12 GGA-PBE relaxed; uncorrected energy = -144.78 eV/cell; calculated volume = 19.9 Å³/atom; E_form (uncorrected) = -2335 meV/atom
1.0
-1.301 5.082 -5.704
-4.666 -2.411 -5.698
-7.067 3.174 -0.175
Pa Rh Pb O
3 1 2 12
Direct
0.500 0.000 0.000 Pa
0.000 0.500 0.000 Pa
0.000 0.000 0.500 Pa
0.000 0.000 0.000 Rh
0.696 0.696 0.696 Pb
0.304 0.304 0.304 Pb
0.325 0.325 0.979 O
0.948 0.948 0.288 O
0.288 0.948 0.948 O
0.979 0.325 0.325 O
0.948 0.288 0.948 O
0.325 0.979 0.325 O
0.675 0.675 0.021 O
0.052 0.052 0.712 O
0.712 0.052 0.052 O
0.021 0.675 0.675 O
0.052 0.712 0.052 O
0.675 0.021 0.675 O


# 4
Pa2RuPbO8 GGA-PBE relaxed; uncorrected energy = -100.31 eV/cell; calculated volume = 15.0 Å³/atom; E_form (uncorrected) = -2389 meV/atom
1.0
-4.802 1.461 0.290
-0.539 -2.257 4.459
2.026 6.005 3.283
Pa Ru Pb O
2 1 1 8
Direct
0.500 0.500 0.757 Pa
0.500 0.500 0.243 Pa
0.000 0.000 0.000 Ru
0.000 0.000 0.500 Pb
0.198 0.801 0.204 O
0.703 0.704 0.000 O
0.802 0.199 0.204 O
0.802 0.199 0.796 O
0.297 0.296 0.000 O
0.198 0.801 0.796 O
0.670 0.671 0.500 O
0.330 0.329 0.500 O


# 5
PaRuPbO6 GGA-PBE relaxed; uncorrected energy = -138.50 eV/cell; calculated volume = 14.6 Å³/atom; E_form (uncorrected) = -1891 meV/atom
1.0
7.400 0.000 0.000
0.000 7.069 0.000
-3.700 -3.535 5.029
Pa Ru Pb O
2 2 2 12
Direct
0.500 0.000 0.500 Pa
0.000 0.000 0.500 Pa
0.500 0.500 0.000 Ru
0.500 0.000 0.000 Ru
0.798 0.548 0.597 Pb
0.202 0.452 0.403 Pb
0.586 0.836 0.173 O
0.854 0.104 0.709 O
0.821 0.174 0.274 O
0.453 0.600 0.274 O
0.453 0.174 0.274 O
0.821 0.600 0.274 O
0.414 0.164 0.827 O
0.146 0.896 0.291 O
0.179 0.826 0.726 O
0.547 0.400 0.726 O
0.547 0.826 0.726 O
0.179 0.400 0.726 O


# 6
PaRuPb2O6 GGA-PBE relaxed; uncorrected energy = -73.84 eV/cell; calculated volume = 16.4 Å³/atom; E_form (uncorrected) = -1790 meV/atom
1.0
5.209 0.000 0.087
0.000 5.678 0.000
-2.040 -2.839 5.502
Pa Ru Pb O
1 1 2 6
Direct
0.000 0.500 0.000 Pa
0.500 0.000 0.000 Ru
0.240 0.247 0.494 Pb
0.760 0.753 0.506 Pb
0.288 0.672 0.345 O
0.226 0.163 0.846 O
0.774 0.317 0.154 O
0.226 0.683 0.846 O
0.774 0.837 0.154 O
0.712 0.328 0.655 O


Which of these has the highest uncorrected energy? PaRhPb2O6


Look up the calculated volume of the first one. 14.0 Å³/atom